The following is a DFT calculation (PBE) of crystalline CaSbPt2 at its relaxed geometry.

a b c (Å): 4.1609 4.0202 5.5001
angles (deg): 68.40 90.00 90.00
Last column: nearest neighbours and their distance in Å.
Positions (direct):
Sb  0.0000  0.4584  0.4176  3 Pt 2.66-2.80
Ca  0.5000  0.7595  0.8487  6 Pt 2.83-2.96
Pt  0.0000  0.2044  0.9368  1 Sb 2.66, 2 Pt 2.79, 4 Ca 2.90-2.96
Pt  0.5000  0.0777  0.2968  2 Pt 2.79, 2 Sb 2.80, 2 Ca 2.83-2.93

Output
Raw formation energy ... -15.37 kcal/mol of atoms

***

The following is a DFT calculation (PBE) of crystalline La12PmCd6 at its relaxed geometry.

a b c (Å): 8.4665 8.4665 8.4665
angles (deg): 88.81 88.81 88.81
Last column: nearest neighbours and their distance in Å.
Positions (direct):
La  0.8140  0.5359  0.4324  4 La 3.27-3.66, 4 Cd 3.34-3.65
La  0.4324  0.8140  0.5359  4 La 3.27-3.66, 4 Cd 3.34-3.65
La  0.5359  0.4324  0.8140  4 La 3.27-3.66, 4 Cd 3.34-3.65
La  0.1860  0.4641  0.5676  4 La 3.27-3.66, 4 Cd 3.34-3.65
La  0.5676  0.1860  0.4641  4 La 3.27-3.66, 4 Cd 3.34-3.65
La  0.4641  0.5676  0.1860  4 La 3.27-3.66, 4 Cd 3.34-3.65
La  0.0489  0.1569  0.3913  4 La 3.27-3.59, 3 Cd 3.34-3.59, 1 Pm 3.63
La  0.8431  0.6087  0.9511  4 La 3.27-3.59, 3 Cd 3.34-3.59, 1 Pm 3.63
La  0.6087  0.9511  0.8431  4 La 3.27-3.59, 3 Cd 3.34-3.59, 1 Pm 3.63
La  0.9511  0.8431  0.6087  4 La 3.27-3.59, 3 Cd 3.34-3.59, 1 Pm 3.63
La  0.1569  0.3913  0.0489  4 La 3.27-3.59, 3 Cd 3.34-3.59, 1 Pm 3.63
La  0.3913  0.0489  0.1569  4 La 3.27-3.59, 3 Cd 3.34-3.59, 1 Pm 3.63
Pm  0.0000  0.0000  0.0000  6 Cd 3.21
Cd  0.7382  0.8844  0.2540  1 Pm 3.21, 6 La 3.34-3.59, 2 Cd 3.38
Cd  0.7460  0.2618  0.1156  1 Pm 3.21, 6 La 3.34-3.59, 2 Cd 3.38
Cd  0.1156  0.7460  0.2618  1 Pm 3.21, 6 La 3.34-3.59, 2 Cd 3.38
Cd  0.2618  0.1156  0.7460  1 Pm 3.21, 6 La 3.34-3.59, 2 Cd 3.38
Cd  0.2540  0.7382  0.8844  1 Pm 3.21, 6 La 3.34-3.59, 2 Cd 3.38
Cd  0.8844  0.2540  0.7382  1 Pm 3.21, 6 La 3.34-3.59, 2 Cd 3.38

Output
E_form ... -0.14 eV/atom

***

The following is a DFT calculation (PBE) of crystalline SmDyMnHg at its relaxed geometry.

a b c (Å): 5.1992 5.1992 5.1992
angles (deg): 60.00 60.00 60.00
Last column: nearest neighbours and their distance in Å.
Positions (direct):
Mn  0.5000  0.5000  0.5000  4 Dy 3.18, 4 Sm 3.18
Hg  0.0000  0.0000  0.0000  4 Sm 3.18, 4 Dy 3.18
Sm  0.7500  0.7500  0.7500  4 Hg 3.18, 4 Mn 3.18
Dy  0.2500  0.2500  0.2500  4 Hg 3.18, 4 Mn 3.18

Output
E_form ... -0.07 eV/atom

***

The following is a DFT calculation (PBE) of crystalline TlSb2Pb3 at its relaxed geometry.

a b c (Å): 5.5879 5.5879 13.6844
angles (deg): 90.00 90.00 120.00
Last column: nearest neighbours and their distance in Å.
Positions (direct):
Tl  0.0000  0.0000  0.2500  8 Pb 3.42-3.69, 6 Sb 3.70
Tl  0.0000  0.0000  0.7500  8 Pb 3.42-3.69, 6 Sb 3.70
Sb  0.6667  0.3333  0.3822  7 Pb 3.23-3.61
Sb  0.3333  0.6667  0.6178  7 Pb 3.23-3.61
Sb  0.3333  0.6667  0.8822  7 Pb 3.23-3.61
Sb  0.6667  0.3333  0.1178  7 Pb 3.23-3.61
Pb  0.0000  0.0000  0.5000  2 Tl 3.42, 6 Sb 3.61, 6 Pb 3.62
Pb  0.0000  0.0000  0.0000  2 Tl 3.42, 6 Sb 3.61, 6 Pb 3.62
Pb  0.6667  0.3333  0.6192  4 Sb 3.23-3.24, 1 Pb 3.58
Pb  0.3333  0.6667  0.1192  4 Sb 3.23-3.24, 1 Pb 3.58
Pb  0.6667  0.3333  0.8808  4 Sb 3.23-3.24, 1 Pb 3.58
Pb  0.3333  0.6667  0.3808  4 Sb 3.23-3.24, 1 Pb 3.58

Output
Raw formation energy ... 0.29 kcal/mol of atoms
Polymorph energy (0 for the lowest one) ... 0 meV/atom

***

The following is a DFT calculation (PBE) of crystalline LiTiCu4 at its relaxed geometry.

a b c (Å): 2.4798 7.4103 4.3289
angles (deg): 90.00 90.00 90.00
Last column: nearest neighbours and their distance in Å.
Positions (direct):
Li  0.0000  0.0000  0.0000  2 Li 2.48, 8 Cu 2.53-2.62
Ti  0.5000  0.5000  0.5000  2 Ti 2.48, 8 Cu 2.58-2.70
Cu  0.5000  0.6883  0.0000  6 Cu 2.48-2.69, 2 Ti 2.58, 2 Li 2.62
Cu  0.5000  0.3117  0.0000  6 Cu 2.48-2.69, 2 Ti 2.58, 2 Li 2.62
Cu  0.0000  0.1764  0.5000  7 Cu 2.48-2.69, 2 Li 2.53, 2 Ti 2.70
Cu  0.0000  0.8236  0.5000  7 Cu 2.48-2.69, 2 Li 2.53, 2 Ti 2.70

Output
Polymorph energy (0 for the lowest one) ... 67 meV/atom
E_form ... 0.07 eV/atom